Below is Ce2TaMoN6 after structural relaxation, with properties calculated at the GGA-PBE level.

Output
- raw formation energy (eV per atom) = -1.100

Unit cell a=5.5620 b=5.6992 c=7.9249 alpha=90.00 beta=89.93 gamma=90.00
Last column: nearest neighbours and their distance in Å.
Sites, in units of the cell vectors:
Ce1 0.5068 0.5546 0.7499  4 N 2.35-2.45
Ce2 0.0068 0.9454 0.2499  4 N 2.35-2.45
N1 0.4082 0.9742 0.7522  1 Mo 2.04, 1 Ta 2.07
N2 0.8015 0.8051 0.9526  1 Mo 2.05, 1 Ta 2.09
N3 0.3060 0.6995 0.0486  1 Mo 2.06, 1 Ta 2.08
N4 0.0918 0.4742 0.7478  1 Mo 2.04, 1 Ta 2.07
N5 0.3015 0.6949 0.4526  1 Mo 2.05, 1 Ta 2.09
Ta1 0.5000 0.0000 0.5000  6 N 2.07-2.09
N6 0.1940 0.1995 0.4514  1 Mo 2.06, 1 Ta 2.08
Ce3 0.9932 0.0546 0.7501  4 N 2.35-2.45
Ta2 0.0000 0.5000 0.0000  6 N 2.07-2.09
Mo1 0.0000 0.5000 0.5000  6 N 2.04-2.06
N7 0.5918 0.0258 0.2478  1 Mo 2.04, 1 Ta 2.07
N8 0.1985 0.1949 0.0474  1 Mo 2.05, 1 Ta 2.09
N9 0.6940 0.3005 0.9514  1 Mo 2.06, 1 Ta 2.08
N10 0.6985 0.3051 0.5474  1 Mo 2.05, 1 Ta 2.09
N11 0.9082 0.5258 0.2522  1 Mo 2.04, 1 Ta 2.07
N12 0.8060 0.8005 0.5486  1 Mo 2.06, 1 Ta 2.08
Ce4 0.4932 0.4454 0.2501  4 N 2.35-2.45
Mo2 0.5000 0.0000 0.0000  6 N 2.04-2.06



Below is Ba2LiTc after structural relaxation, with properties calculated at the GGA-PBE level.

Output
- calculated formation energy (eV/atom) = 0.672
- energy above the most stable polymorph in this dataset (meV per atom) = 28

Unit cell a=3.7559 b=3.7559 c=9.0242 alpha=90.00 beta=90.00 gamma=90.02
Last column: nearest neighbours and their distance in Å.
Sites, in units of the cell vectors:
Tc1 0.5000 0.5000 0.6708  4 Li 2.78, 1 Ba 3.00
Li1 0.0000 0.0000 0.5785  4 Tc 2.78, 1 Ba 3.01
Ba1 0.5000 0.5000 0.3385  1 Tc 3.00
Ba2 0.0000 0.0000 0.9121  1 Li 3.01



Below is Ca2NiOsRh after structural relaxation, with properties calculated at the GGA-PBE level.

Output
- calculated formation energy (eV/atom) = 0.953

Unit cell a=5.0247 b=4.4880 c=5.0247 alpha=90.00 beta=90.00 gamma=90.00
Last column: nearest neighbours and their distance in Å.
Sites, in units of the cell vectors:
Ca1 0.5000 0.0000 0.0000  2 Ni 2.51
Os1 0.5000 0.5000 0.5000  8 Ca 3.37, 4 Rh 3.55
Ca2 0.0000 0.0000 0.5000  2 Ni 2.51
Ni1 0.0000 0.0000 0.0000  2 Rh 2.24, 4 Ca 2.51
Rh1 0.0000 0.5000 0.0000  2 Ni 2.24



Below is Ac12SmIn6 after structural relaxation, with properties calculated at the GGA-PBE level.

Output
- calculated formation energy (eV/atom) = -0.166

Unit cell a=8.9330 b=8.9330 c=8.9330 alpha=87.96 beta=87.96 gamma=87.96
Last column: nearest neighbours and their distance in Å.
Sites, in units of the cell vectors:
In1 0.2658 0.1121 0.7447  1 Sm 3.39, 5 Ac 3.52-3.64, 2 In 3.57
In2 0.1121 0.7447 0.2658  1 Sm 3.39, 5 Ac 3.52-3.64, 2 In 3.57
Ac1 0.8448 0.6226 0.9695  5 Ac 3.52-3.87, 4 In 3.52-3.87, 1 Sm 3.71
Ac2 0.4695 0.5655 0.1907  4 In 3.57-3.86, 5 Ac 3.66-3.87
In3 0.8879 0.2553 0.7342  1 Sm 3.39, 5 Ac 3.52-3.64, 2 In 3.57
Ac3 0.1907 0.4695 0.5655  4 In 3.57-3.86, 5 Ac 3.66-3.87
Ac4 0.1552 0.3774 0.0305  5 Ac 3.52-3.87, 4 In 3.52-3.87, 1 Sm 3.71
Ac5 0.8093 0.5305 0.4345  4 In 3.57-3.86, 5 Ac 3.66-3.87
Ac6 0.5305 0.4345 0.8093  4 In 3.57-3.86, 5 Ac 3.66-3.87
Ac7 0.0305 0.1552 0.3774  5 Ac 3.52-3.87, 4 In 3.52-3.87, 1 Sm 3.71
Ac8 0.3774 0.0305 0.1552  5 Ac 3.52-3.87, 4 In 3.52-3.87, 1 Sm 3.71
Sm1 0.0000 0.0000 0.0000  6 In 3.39, 6 Ac 3.71
Ac9 0.9695 0.8448 0.6226  5 Ac 3.52-3.87, 4 In 3.52-3.87, 1 Sm 3.71
In4 0.7342 0.8879 0.2553  1 Sm 3.39, 5 Ac 3.52-3.64, 2 In 3.57
Ac10 0.5655 0.1907 0.4695  4 In 3.57-3.86, 5 Ac 3.66-3.87
In5 0.2553 0.7342 0.8879  1 Sm 3.39, 5 Ac 3.52-3.64, 2 In 3.57
In6 0.7447 0.2658 0.1121  1 Sm 3.39, 5 Ac 3.52-3.64, 2 In 3.57
Ac11 0.4345 0.8093 0.5305  4 In 3.57-3.86, 5 Ac 3.66-3.87
Ac12 0.6226 0.9695 0.8448  5 Ac 3.52-3.87, 4 In 3.52-3.87, 1 Sm 3.71